(1)
Cd2Pb5: relaxed, GGA-PBE.

Cell: 3.5313 3.5313 32.7772 Å, 90.00 90.00 90.00°
Last column: nearest neighbours and their distance in Å.
Fractional coordinates of all 14 atoms:
Cd 0.0000 0.0000 0.2222  4 Cd 3.09, 4 Pb 3.37
Cd 0.0000 0.0000 0.7778  4 Cd 3.09, 4 Pb 3.37
Cd 0.5000 0.5000 0.2778  4 Cd 3.09, 4 Pb 3.37
Cd 0.5000 0.5000 0.7222  4 Cd 3.09, 4 Pb 3.37
Pb 0.0000 0.0000 0.0777  12 Pb 3.51-3.57
Pb 0.0000 0.0000 0.3468  4 Cd 3.37, 8 Pb 3.51-3.53
Pb 0.0000 0.0000 0.5000  12 Pb 3.53-3.57
Pb 0.0000 0.0000 0.6532  4 Cd 3.37, 8 Pb 3.51-3.53
Pb 0.0000 0.0000 0.9223  12 Pb 3.51-3.57
Pb 0.5000 0.5000 0.0000  12 Pb 3.53-3.57
Pb 0.5000 0.5000 0.1532  4 Cd 3.37, 8 Pb 3.51-3.53
Pb 0.5000 0.5000 0.4223  12 Pb 3.51-3.57
Pb 0.5000 0.5000 0.5777  12 Pb 3.51-3.57
Pb 0.5000 0.5000 0.8468  4 Cd 3.37, 8 Pb 3.51-3.53

Output
- DFT formation energy: 23 meV/atom
- M_tot: 0.00 Bohr magnetons per cell
- Fermi-level density of states: 4.14 states/eV/f.u.


(2)
CdPb: relaxed, GGA-PBE.

Cell: 11.2819 3.4615 9.1375 Å, 90.00 111.57 90.00°
Last column: nearest neighbours and their distance in Å.
Fractional coordinates of all 12 atoms:
Cd 0.0000 0.0000 0.0000  4 Cd 3.25-3.46, 8 Pb 3.35-3.56
Cd 0.0287 0.0000 0.5025  4 Cd 3.10-3.46, 7 Pb 3.31-3.39
Cd 0.1514 0.5000 0.3152  6 Cd 3.10-3.46, 5 Pb 3.27-3.45
Cd 0.5000 0.5000 0.0000  4 Cd 3.25-3.46, 8 Pb 3.35-3.56
Cd 0.5287 0.5000 0.5025  4 Cd 3.10-3.46, 7 Pb 3.31-3.39
Cd 0.6514 0.0000 0.3152  6 Cd 3.10-3.46, 5 Pb 3.27-3.45
Pb 0.1756 0.5000 0.8395  5 Cd 3.35-3.41, 7 Pb 3.46-3.51
Pb 0.3380 0.0000 0.1849  8 Cd 3.27-3.56, 4 Pb 3.46-3.47
Pb 0.3441 0.0000 0.6428  7 Cd 3.31-3.54, 5 Pb 3.46-3.51
Pb 0.6756 0.0000 0.8395  5 Cd 3.35-3.41, 7 Pb 3.46-3.51
Pb 0.8380 0.5000 0.1849  8 Cd 3.27-3.56, 4 Pb 3.46-3.47
Pb 0.8441 0.5000 0.6428  7 Cd 3.31-3.54, 5 Pb 3.46-3.51

Output
- DFT formation energy: 47 meV/atom
- M_tot: 0.00 Bohr magnetons per cell
- Fermi-level density of states: 0.91 states/eV/f.u.


(3)
Cd5Pb: relaxed, GGA-PBE.

Cell: 4.6207 13.4600 4.7407 Å, 90.00 90.00 90.00°
Last column: nearest neighbours and their distance in Å.
Fractional coordinates of all 12 atoms:
Cd 0.0000 0.0000 0.0000  8 Cd 3.27-3.34, 4 Pb 3.31
Cd 0.0000 0.1745 0.5000  10 Cd 3.08-3.34, 2 Pb 3.29
Cd 0.0000 0.3279 0.0000  10 Cd 3.12-3.31, 2 Pb 3.31
Cd 0.0000 0.6721 0.0000  10 Cd 3.12-3.31, 2 Pb 3.31
Cd 0.0000 0.8255 0.5000  10 Cd 3.08-3.34, 2 Pb 3.29
Cd 0.5000 0.1721 0.0000  10 Cd 3.12-3.31, 2 Pb 3.31
Cd 0.5000 0.3255 0.5000  10 Cd 3.08-3.34, 2 Pb 3.29
Cd 0.5000 0.5000 0.0000  8 Cd 3.27-3.34, 4 Pb 3.31
Cd 0.5000 0.6745 0.5000  10 Cd 3.08-3.34, 2 Pb 3.29
Cd 0.5000 0.8279 0.0000  10 Cd 3.12-3.31, 2 Pb 3.31
Pb 0.0000 0.5000 0.5000  12 Cd 3.29-3.31
Pb 0.5000 0.0000 0.5000  12 Cd 3.29-3.31

Output
- DFT formation energy: 39 meV/atom
- M_tot: 0.00 Bohr magnetons per cell
- Energy relative to the lowest polymorph listed for this composition: 8 meV per atom
- Fermi-level density of states: 1.86 states/eV/f.u.


(4)
Cd2Pb: relaxed, GGA-PBE.

Cell: 6.5804 4.7628 10.0159 Å, 90.00 90.00 90.00°
Last column: nearest neighbours and their distance in Å.
Fractional coordinates of all 12 atoms:
Cd 0.1110 0.2500 0.2399  7 Cd 3.22-3.45, 5 Pb 3.30-3.51
Cd 0.1250 0.2500 0.9183  7 Cd 3.22-3.45, 5 Pb 3.28-3.36
Cd 0.3750 0.7500 0.4183  7 Cd 3.22-3.45, 5 Pb 3.28-3.36
Cd 0.3890 0.7500 0.7399  7 Cd 3.22-3.45, 5 Pb 3.30-3.51
Cd 0.6110 0.2500 0.2601  7 Cd 3.22-3.45, 5 Pb 3.30-3.51
Cd 0.6250 0.2500 0.5817  7 Cd 3.22-3.45, 5 Pb 3.28-3.36
Cd 0.8750 0.7500 0.0817  7 Cd 3.22-3.45, 5 Pb 3.28-3.36
Cd 0.8890 0.7500 0.7601  7 Cd 3.22-3.45, 5 Pb 3.30-3.51
Pb 0.1272 0.2500 0.5903  10 Cd 3.28-3.51, 2 Pb 3.43
Pb 0.3728 0.7500 0.0903  10 Cd 3.28-3.51, 2 Pb 3.43
Pb 0.6272 0.2500 0.9097  10 Cd 3.28-3.51, 2 Pb 3.43
Pb 0.8728 0.7500 0.4097  10 Cd 3.28-3.51, 2 Pb 3.43

Output
- DFT formation energy: 51 meV/atom
- M_tot: 0.00 Bohr magnetons per cell
- Fermi-level density of states: 1.11 states/eV/f.u.